[1]
# SmGeH, optimized geometry, DFT GGA-PBE
# **Energy**: -4.689 eV/atom
# **Energy above the most stable polymorph in this dataset**: 299 meV per atom
# **DOS at the Fermi energy**: 0.232 states/eV/atom
data_SmGeH
_chemical_formula_sum 'Sm1 Ge1 H1'
_space_group_name_H-M_alt 'P 3 m 1'
_space_group_IT_number 156
_space_group_name_Hall 'P 3 -2"'
_cell_length_a 3.6959
_cell_length_b 3.6959
_cell_length_c 4.7614
_cell_angle_alpha 90.00
_cell_angle_beta 90.00
_cell_angle_gamma 120.00
loop_
_atom_site_label
_atom_site_fract_x
_atom_site_fract_y
_atom_site_fract_z
Sm1 0.0000 0.0000 0.0000
Ge1 0.6667 0.3333 0.5000
H1 0.3333 0.6667 0.0016


[2]
# Sm3Ge2H, optimized geometry, DFT GGA-PBE
# **Energy**: -5.059 eV/atom
# **Energy above the most stable polymorph in this dataset**: 175 meV per atom
# **DOS at the Fermi energy**: 0.387 states/eV/atom
data_Sm3Ge2H
_chemical_formula_sum 'Sm12 Ge8 H4'
_space_group_name_H-M_alt 'C 1 2/c 1'
_space_group_IT_number 15
_space_group_name_Hall '-C 2yc'
_cell_length_a 13.0256
_cell_length_b 5.8967
_cell_length_c 8.2358
_cell_angle_alpha 90.00
_cell_angle_beta 108.42
_cell_angle_gamma 90.00
loop_
_atom_site_label
_atom_site_fract_x
_atom_site_fract_y
_atom_site_fract_z
Sm1 0.0000 0.0296 0.2500
Sm2 0.1654 0.4987 0.5829
Ge1 0.1651 0.0025 0.0824
H1 0.0000 0.4543 0.2500


[3]
# Sm3Ge2H, optimized geometry, DFT GGA-PBE
# **Energy**: -5.233 eV/atom
# **Energy above the most stable polymorph in this dataset**: 0 meV per atom
# **DOS at the Fermi energy**: 0.297 states/eV/atom
data_Sm3Ge2H
_chemical_formula_sum 'Sm12 Ge8 H4'
_space_group_name_H-M_alt 'P n m a'
_space_group_IT_number 62
_space_group_name_Hall '-P 2ac 2n'
_cell_length_a 8.1762
_cell_length_b 4.2052
_cell_length_c 16.3913
_cell_angle_alpha 90.00
_cell_angle_beta 90.00
_cell_angle_gamma 90.00
loop_
_atom_site_label
_atom_site_fract_x
_atom_site_fract_y
_atom_site_fract_z
Sm1 0.0028 0.2500 0.1040
Sm2 0.1337 0.7500 0.4311
Sm3 0.1621 0.2500 0.7215
Ge1 0.1159 0.2500 0.2895
Ge2 0.2400 0.7500 0.0405
H1 0.1140 0.2500 0.8638